A plane-wave DFT calculation with GGA-PBEsol was carried out for a relaxed structure of SrInO2.

Cell: 3.7484 3.7484 19.5861 Å, 90.00 90.00 120.00°
With the nearest neighbours (Å) after each atom.
Space group R-3m (No. 166, hexagonal axes)
Unique sites:
Sr  0.0000  0.0000  0.0000  6 O 2.50
In  0.0000  0.0000  0.5000  2 O 2.01
O  0.0000  0.0000  0.3976  1 In 2.01

Properties
Formation energy from raw total energies in meV/atom: -1732.1
Total energy in eV per atom: -5.563
Total magnetic moment in μB per formula unit: 0.002

A plane-wave DFT calculation with GGA-PBEsol was carried out for a relaxed structure of SrIn2O4.

Cell: 9.8220 3.2787 11.5108 Å, 90.00 90.00 90.00°
With the nearest neighbours (Å) after each atom.
Space group Pnma (No. 62)
Unique sites:
Sr  0.2441  0.2500  0.1528  8 O 2.53-2.73
In  0.0700  0.2500  0.3889  6 O 2.15-2.25
In  0.0812  0.2500  0.8940  6 O 2.16-2.24
O  0.0229  0.7500  0.7826  3 In 2.16-2.17
O  0.0814  0.2500  0.5750  3 In 2.15-2.25
O  0.1220  0.7500  0.0216  3 In 2.22-2.24
O  0.2067  0.7500  0.3318  3 In 2.20-2.22

Properties
Formation energy from raw total energies in meV/atom: -2016.6
Total energy in eV per atom: -6.131
Total magnetic moment in μB per formula unit: 0.000

A plane-wave DFT calculation with GGA-PBEsol was carried out for a relaxed structure of Sr2TaInO6.

Cell: 5.6924 5.6924 8.2414 Å, 90.00 90.00 90.00°
With the nearest neighbours (Å) after each atom.
Space group I4/m (No. 87)
Unique sites:
Sr  0.0000  0.5000  0.2500  8 O 2.58-2.85
Ta  0.0000  0.0000  0.0000  6 O 1.98
In  0.0000  0.0000  0.5000  6 O 2.14-2.15
O  0.0000  0.0000  0.2405  1 Ta 1.98, 1 In 2.14
O  0.1826  0.2967  0.0000  1 Ta 1.98, 1 In 2.15

Properties
Formation energy from raw total energies in meV/atom: -2720.3
Total energy in eV per atom: -7.791
Total magnetic moment in μB per formula unit: 0.000

A plane-wave DFT calculation with GGA-PBEsol was carried out for a relaxed structure of Ta3InO9.

Cell: 6.3403 7.5220 12.3432 Å, 90.00 90.00 90.00°
With the nearest neighbours (Å) after each atom.
Space group Pnma (No. 62)
Unique sites:
Ta  0.0000  0.0000  0.0000  6 O 1.96-1.99
Ta  0.1957  0.0026  0.2886  6 O 1.90-2.12
In  0.0572  0.2500  0.5341  6 O 2.24-2.40
O  0.0075  0.0538  0.1582  3 Ta 1.99-2.12
O  0.0883  0.7500  0.0284  2 Ta 1.99
O  0.1108  0.0400  0.6656  2 Ta 1.98-2.05
O  0.1441  0.2500  0.3447  2 Ta 2.01
O  0.2009  0.7500  0.2983  2 Ta 1.90
O  0.2042  0.5505  0.4640  1 Ta 1.96

Properties
Formation energy from raw total energies in meV/atom: -2546.7
Total energy in eV per atom: -9.307
Total magnetic moment in μB per formula unit: 0.000
Distance to the lowest polymorph of the same formula in eV per atom: 0.024

A plane-wave DFT calculation with GGA-PBEsol was carried out for a relaxed structure of Ta3InO9.

Cell: 5.1286 7.3951 8.2634 Å, 90.00 92.01 90.00°
With the nearest neighbours (Å) after each atom.
Space group P2_1/m (No. 11)
Unique sites:
Ta  0.0000  0.0000  0.0000  6 O 1.94-2.03
Ta  0.4731  0.0080  0.6956  5 O 1.84-2.02
In  0.0263  0.2500  0.4385  6 O 2.19-2.42
O  0.1088  0.2500  0.9757  2 Ta 1.94
O  0.1476  0.5701  0.7846  2 Ta 1.94-2.03
O  0.2553  0.5527  0.4714  2 Ta 2.02-2.18, 1 In 2.20
O  0.3223  0.2500  0.6496  2 Ta 1.98
O  0.3295  0.5603  0.1196  2 Ta 1.84-1.98
O  0.3988  0.2500  0.3175  2 Ta 2.02, 1 In 2.19

Properties
Formation energy from raw total energies in meV/atom: -2570.5
Total energy in eV per atom: -9.330
Total magnetic moment in μB per formula unit: 0.000
Distance to the lowest polymorph of the same formula in eV per atom: 0.000

A plane-wave DFT calculation with GGA-PBEsol was carried out for a relaxed structure of TbInO3.

Cell: 5.8204 8.0877 5.4788 Å, 90.00 90.00 90.00°
With the nearest neighbours (Å) after each atom.
Space group Pnma (No. 62)
Unique sites:
Tb  0.0670  0.2500  0.0237  4 O 2.22-2.32
In  0.0000  0.0000  0.5000  6 O 2.13-2.21
O  0.0675  0.7500  0.3561  2 In 2.21, 2 Tb 2.22-2.32
O  0.1910  0.5744  0.8129  2 In 2.13-2.16, 1 Tb 2.25

Properties
Formation energy from raw total energies in meV/atom: -2571.9
Total energy in eV per atom: -7.320
Total magnetic moment in μB per formula unit: 0.000

A plane-wave DFT calculation with GGA-PBEsol was carried out for a relaxed structure of InTc2O.

Cell: 6.0805 6.0805 6.0805 Å, 90.00 90.00 90.00°
With the nearest neighbours (Å) after each atom.
Space group Fm-3m (No. 225)
Unique sites:
In  0.0000  0.0000  0.0000  8 Tc 2.63
Tc  0.2500  0.2500  0.2500  4 O 2.63, 4 In 2.63
O  0.0000  0.0000  0.5000  8 Tc 2.63

Properties
Formation energy from raw total energies in meV/atom: 917.1
Total energy in eV per atom: -6.774
Total magnetic moment in μB per formula unit: 0.006

A plane-wave DFT calculation with GGA-PBEsol was carried out for a relaxed structure of In6TeO12.

Cell: 9.4808 9.4808 9.0392 Å, 90.00 90.00 120.00°
With the nearest neighbours (Å) after each atom.
Space group R-3 (No. 148, hexagonal axes)
Unique sites:
In  0.0376  0.7855  0.1449  6 O 2.08-2.30
Te  0.0000  0.0000  0.5000  6 O 1.95
O  0.0234  0.8020  0.8971  4 In 2.08-2.25
O  0.0314  0.8443  0.3845  1 Te 1.95

Properties
Formation energy from raw total energies in meV/atom: -1515.3
Total energy in eV per atom: -5.958
Total magnetic moment in μB per formula unit: 0.001

A plane-wave DFT calculation with GGA-PBEsol was carried out for a relaxed structure of TlInO2.

Cell: 6.1006 6.1006 6.1006 Å, 90.00 90.00 90.00°
With the nearest neighbours (Å) after each atom.
Space group Fm-3m (No. 225)
Unique sites:
Tl  0.0000  0.0000  0.0000  8 O 2.64
In  0.0000  0.0000  0.5000  8 O 2.64
O  0.2500  0.2500  0.2500  4 Tl 2.64, 4 In 2.64

Properties
Formation energy from raw total energies in meV/atom: -301.4
Total energy in eV per atom: -4.329
Total magnetic moment in μB per formula unit: 0.001

A plane-wave DFT calculation with GGA-PBEsol was carried out for a relaxed structure of TlInO2.

Cell: 3.3232 3.3232 19.1686 Å, 90.00 90.00 120.00°
With the nearest neighbours (Å) after each atom.
Space group R-3m (No. 166, hexagonal axes)
Unique sites:
Tl  0.0000  0.0000  0.0000  6 O 2.83
In  0.0000  0.0000  0.5000  6 O 2.22
O  0.0000  0.0000  0.2247  3 In 2.22

Properties
Formation energy from raw total energies in meV/atom: -1169.6
Total energy in eV per atom: -5.198
Total magnetic moment in μB per formula unit: 0.000

A plane-wave DFT calculation with GGA-PBEsol was carried out for a relaxed structure of TmInO3.

Cell: 5.7316 8.1094 5.3983 Å, 90.00 90.00 90.00°
With the nearest neighbours (Å) after each atom.
Space group Pnma (No. 62)
Unique sites:
Tm  0.0667  0.2500  0.0260  4 O 2.17-2.26
In  0.0000  0.0000  0.5000  6 O 2.12-2.23
O  0.0762  0.7500  0.3470  2 Tm 2.17-2.26, 2 In 2.23
O  0.1907  0.5803  0.8131  2 In 2.12-2.14, 1 Tm 2.20

Properties
Formation energy from raw total energies in meV/atom: -2597.7
Total energy in eV per atom: -7.324
Total magnetic moment in μB per formula unit: 0.000

A plane-wave DFT calculation with GGA-PBEsol was carried out for a relaxed structure of In2WO6.

Cell: 5.3887 15.7316 10.2484 Å, 90.00 90.00 90.00°
With the nearest neighbours (Å) after each atom.
Space group Pbca (No. 61)
Unique sites:
In  0.0267  0.2308  0.1460  6 O 2.14-2.37
In  0.0776  0.0652  0.3604  6 O 2.12-2.33
W  0.0941  0.1165  0.8808  4 O 1.79-1.96
O  0.0630  0.0199  0.7821  1 W 1.83
O  0.1291  0.6037  0.4909  1 W 1.79
O  0.1343  0.5657  0.9617  1 W 1.86
O  0.1796  0.6729  0.7328  2 W 2.08-2.14, 1 In 2.25
O  0.1846  0.2278  0.9531  1 W 1.96, 1 In 2.15
O  0.2045  0.6470  0.2304  4 In 2.14-2.21

Properties
Formation energy from raw total energies in meV/atom: -1804.4
Total energy in eV per atom: -7.501
Total magnetic moment in μB per formula unit: 0.000